(1)
A plane-wave DFT calculation with PBE was carried out for crystalline LiPb3Br7 at its relaxed geometry.

The space group is C2/m (No. 12) and the conventional cell measures 10.0484, 10.5847 and 8.7285 Å, with angles of 90.00, 123.61 and 90.00 degrees. Symmetry generates all atoms from Li at (0.0000, 0.0000, 0.0000), Pb at (0.0000, 0.2228, 0.5000), Pb at (0.0000, 0.5000, 0.0000), Br at (0.0000, 0.5000, 0.5000), Br at (0.1283, 0.2628, 0.2486) and Br at (0.1368, 0.0000, 0.8269).

Its density of states at the Fermi level is 0.00 states/eV/f.u. The value obtained for the total magnetic moment is 0.0 Bohr magnetons per cell. The crystal system is monoclinic. Its raw formation energy is -939.9 meV per atom.


(2)
A plane-wave DFT calculation with PBE was carried out for crystalline CuTcO3 at its relaxed geometry.

The space group is Pm-3m (No. 221) and the conventional cell measures 3.8278, 3.8278 and 3.8278 Å, with angles of 90.00, 90.00 and 90.00 degrees. Symmetry generates all atoms from Cu at (0.0000, 0.0000, 0.0000), Tc at (0.5000, 0.5000, 0.5000) and O at (0.0000, 0.5000, 0.5000).

Its density of states at the Fermi level is 1.99 states/eV/f.u. The value obtained for the total magnetic moment is 0.0 Bohr magnetons per cell. The crystal system is cubic. Its raw formation energy is -733.1 meV per atom.